(1)
Material: AlHgP2
Method: DFT, GGA-PBE
State: relaxed

Space group ... No. 38
Crystal system ... orthorhombic

a = 4.969 Å, b = 4.062 Å, c = 4.062 Å
α = 75.82°, β = 90.00°, γ = 90.00°
Fractional positions:
Al: 0.000 0.000 0.000
Hg: 0.500 0.454 0.454
P: 0.000 0.622 0.622
P: 0.500 0.053 0.053



(2)
Material: AlHgP2
Method: DFT, GGA-PBE
State: relaxed

Space group ... No. 6
Crystal system ... monoclinic

a = 4.719 Å, b = 3.242 Å, c = 5.857 Å
α = 90.00°, β = 92.11°, γ = 90.00°
Fractional positions:
Al: 0.000 0.000 0.000
Hg: 0.998 0.500 0.630
P: 0.373 0.000 0.292
P: 0.695 0.500 0.244



(3)
Material: Al3HgP
Method: DFT, GGA-PBE
State: relaxed

Space group ... No. 221
Crystal system ... cubic

a = 4.933 Å, b = 4.933 Å, c = 4.933 Å
α = 90.00°, β = 90.00°, γ = 90.00°
Fractional positions:
Al: 0.000 0.000 0.500
Al: 0.000 0.500 0.000
Al: 0.500 0.000 0.000
Hg: 0.000 0.000 0.000
P: 0.500 0.500 0.500



(4)
Material: AlHgP2
Method: DFT, GGA-PBE
State: relaxed

Space group ... No. 12
Crystal system ... monoclinic

a = 5.333 Å, b = 5.333 Å, c = 5.382 Å
α = 101.69°, β = 101.69°, γ = 34.74°
Fractional positions:
Al: 0.000 0.000 0.000
Hg: 0.500 0.500 0.500
P: 0.296 0.296 0.895
P: 0.704 0.704 0.105



(5)
Material: AlHgP
Method: DFT, GGA-PBE
State: relaxed

Space group ... No. 216
Crystal system ... cubic

a = 4.459 Å, b = 4.459 Å, c = 4.459 Å
α = 60.00°, β = 60.00°, γ = 60.00°
Fractional positions:
Al: 0.000 0.000 0.000
Hg: 0.750 0.750 0.750
P: 0.250 0.250 0.250



(6)
Material: AlHgP2
Method: DFT, GGA-PBE
State: relaxed

Space group ... No. 225
Crystal system ... cubic

a = 4.665 Å, b = 4.665 Å, c = 4.665 Å
α = 60.00°, β = 60.00°, γ = 60.00°
Fractional positions:
Al: 0.000 0.000 0.000
Hg: 0.500 0.500 0.500
P: 0.250 0.250 0.250
P: 0.750 0.750 0.750



(7)
Material: Al3HgP
Method: DFT, GGA-PBE
State: relaxed

Space group ... No. 221
Crystal system ... cubic

a = 4.746 Å, b = 4.746 Å, c = 4.746 Å
α = 90.00°, β = 90.00°, γ = 90.00°
Fractional positions:
Al: 0.000 0.000 0.500
Al: 0.000 0.500 0.000
Al: 0.500 0.000 0.000
Hg: 0.500 0.500 0.500
P: 0.000 0.000 0.000



(8)
Material: AlHgP
Method: DFT, GGA-PBE
State: relaxed

Space group ... No. 160
Crystal system ... trigonal

a = 6.367 Å, b = 6.367 Å, c = 6.367 Å
α = 35.44°, β = 35.44°, γ = 35.44°
Fractional positions:
Al: 0.000 0.000 0.000
Hg: 0.854 0.854 0.854
P: 0.710 0.710 0.710



(9)
Material: AlHgP2
Method: DFT, GGA-PBE
State: relaxed

Space group ... No. 44
Crystal system ... orthorhombic

a = 7.374 Å, b = 7.374 Å, c = 7.374 Å
α = 154.81°, β = 152.65°, γ = 37.52°
Fractional positions:
Al: 0.000 0.000 0.000
Hg: 0.663 0.163 0.500
P: 0.311 0.811 0.500
P: 0.424 0.424 0.000



(10)
Material: AlHgP2
Method: DFT, GGA-PBE
State: relaxed

Space group ... No. 123
Crystal system ... tetragonal

a = 4.885 Å, b = 4.885 Å, c = 3.001 Å
α = 90.00°, β = 90.00°, γ = 90.00°
Fractional positions:
Al: 0.000 0.000 0.000
Hg: 0.500 0.500 0.000
P: 0.000 0.500 0.500
P: 0.500 0.000 0.500



(11)
Material: AlHgP2
Method: DFT, GGA-PBE
State: relaxed

Space group ... No. 47
Crystal system ... orthorhombic

a = 3.665 Å, b = 3.708 Å, c = 5.663 Å
α = 90.00°, β = 90.00°, γ = 90.00°
Fractional positions:
Al: 0.000 0.000 0.000
Hg: 0.000 0.500 0.500
P: 0.500 0.000 0.500
P: 0.500 0.500 0.000



(12)
Material: AlHgP2
Method: DFT, GGA-PBE
State: relaxed

Space group ... No. 216
Crystal system ... cubic

a = 4.666 Å, b = 4.666 Å, c = 4.666 Å
α = 60.00°, β = 60.00°, γ = 60.00°
Fractional positions:
Al: 0.000 0.000 0.000
Hg: 0.250 0.250 0.250
P: 0.500 0.500 0.500
P: 0.750 0.750 0.750



Number 1: raw total energy -3.5973 eV/atom, formation enthalpy at 0 K 0.1187 eV/atom. Number 2: raw total energy -3.6093 eV/atom, formation enthalpy at 0 K 0.1068 eV/atom. Number 3: raw total energy -2.5633 eV/atom, formation enthalpy at 0 K 0.8245 eV/atom. Number 4: raw total energy -3.5143 eV/atom, formation enthalpy at 0 K 0.2018 eV/atom. Number 5: raw total energy -2.9729 eV/atom, formation enthalpy at 0 K 0.1785 eV/atom. Number 6: raw total energy -3.1610 eV/atom, formation enthalpy at 0 K 0.5550 eV/atom. Number 7: raw total energy -3.0239 eV/atom, formation enthalpy at 0 K 0.3640 eV/atom. Number 8: raw total energy -3.4039 eV/atom, formation enthalpy at 0 K -0.2525 eV/atom. Number 9: raw total energy -3.5401 eV/atom, formation enthalpy at 0 K 0.1759 eV/atom. Number 10: raw total energy -3.2130 eV/atom, formation enthalpy at 0 K 0.5030 eV/atom. Number 11: raw total energy -3.2576 eV/atom, formation enthalpy at 0 K 0.4584 eV/atom. Number 12: raw total energy -3.1406 eV/atom, formation enthalpy at 0 K 0.5754 eV/atom.